Compound: LiZn4Pt
Source: the Alexandria database
Functional: GGA-PBE
Structure: relaxed

Output
Crystal system: orthorhombic
Total magnetization (μB per formula unit): 0.00
E (eV per atom): -2.53

```
LiZn4Pt
1.0
-2.8607 -2.5337 1.0182
1.1541 -0.5372 -5.7746
2.7007 -2.7304 0.7936
Li Zn Pt
1 4 1
direct
0.5000 0.0000 0.5000
0.3404 0.6808 0.0000
0.6596 0.3192 0.0000
0.8357 0.6713 0.5000
0.1643 0.3287 0.5000
0.0000 0.0000 0.0000
```



Compound: SrBeF
Source: the Alexandria database
Functional: GGA-PBE
Structure: relaxed

Output
Crystal system: monoclinic
Total magnetization (μB per formula unit): 0.00
Raw formation energy (meV/atom): -1461

```
SrBeF
1.0
-4.5008 -1.4494 -4.9263
0.2756 -3.9745 0.9176
-2.5652 2.1539 10.0995
Sr Be F
4 4 4
direct
0.1494 0.0000 0.6390
0.1494 0.5000 0.1390
0.6740 0.0000 0.1967
0.6740 0.5000 0.6967
0.5573 0.0000 0.4392
0.5573 0.5000 0.9392
0.7052 0.0000 0.9363
0.7052 0.5000 0.4363
0.4253 0.0000 0.5361
0.4253 0.5000 0.0361
0.8840 0.0000 0.8782
0.8840 0.5000 0.3782
```



Compound: Ti4Fe
Source: the Alexandria database
Functional: GGA-PBE
Structure: relaxed

Output
Crystal system: cubic
Total magnetization (μB per formula unit): 0.00
E (eV per atom): -7.68

```
Ti4Fe
1.0
4.4747 0.0000 0.0000
0.0000 4.4747 0.0000
0.0000 0.0000 4.4747
Fe Ti
1 4
direct
0.5000 0.5000 0.5000
0.0000 0.0000 0.0000
0.5000 0.0000 0.5000
0.0000 0.5000 0.5000
0.5000 0.5000 0.0000
```



Compound: PrHoC2
Source: the Alexandria database
Functional: GGA-PBE
Structure: relaxed

Output
Crystal system: trigonal
Total magnetization (μB per formula unit): 0.00
E (eV per atom): -6.73

```
PrHoC2
1.0
-1.0276 0.9110 3.4377
-3.5759 -0.1041 0.9518
-0.9137 -5.4657 3.1685
Pr C Ho
1 2 1
direct
0.5000 0.5000 0.5000
0.2558 0.2558 0.2327
0.7442 0.7442 0.7673
0.0000 0.0000 0.0000
```



Compound: ErGaPt6
Source: the Alexandria database
Functional: GGA-PBE
Structure: relaxed

Output
Crystal system: tetragonal
Total magnetization (μB per formula unit): 0.00
E (eV per atom): -6.23

```
ErGaPt6
1.0
4.0542 0.0000 0.0000
0.0000 4.0542 0.0000
0.0000 0.0000 7.9509
Er Ga Pt
1 1 6
direct
0.0000 0.0000 0.0000
0.0000 0.0000 0.5000
0.5000 0.5000 0.0000
0.5000 0.5000 0.5000
0.5000 0.0000 0.2627
0.5000 0.0000 0.7373
0.0000 0.5000 0.2627
0.0000 0.5000 0.7373
```



Compound: Nd2Sm3Er4
Source: the Alexandria database
Functional: GGA-PBE
Structure: relaxed

Output
Crystal system: monoclinic
Total magnetization (μB per formula unit): 0.00
E (eV per atom): -4.56

```
Nd2Sm3Er4
1.0
-2.8278 -5.4066 -0.6386
-1.7607 -6.1025 9.3832
-10.5909 -0.8410 3.9383
Nd Sm Er
4 6 8
direct
0.4248 0.2352 0.5175
0.0752 0.4825 0.7648
0.5752 0.7648 0.4825
0.9248 0.5175 0.2352
0.7723 0.0654 0.2628
0.7277 0.7372 0.9346
0.2277 0.9346 0.7372
0.2723 0.2628 0.0654
0.2500 0.5995 0.4005
0.7500 0.4005 0.5995
0.4251 0.9078 0.1850
0.0749 0.8150 0.0922
0.5749 0.0922 0.8150
0.9251 0.1850 0.9078
0.0866 0.1439 0.4197
0.4134 0.5803 0.8561
0.9134 0.8561 0.5803
0.5866 0.4197 0.1439
```